#one
Density functional theory data (PBE) for crystalline LiPPdCl2 at its relaxed geometry. Values from VASP.

Values from the calculation:
- Calculated density: 3.69 g/cm3
- Symmetry: P4/mmm
- Total magnetization: 0.33 μB/atom
- Crystal system: tetragonal

Structure (Quantum ESPRESSO input):
```
&SYSTEM
  ibrav = 0, nat = 5, ntyp = 4
/
ATOMIC_SPECIES
Cl 35.45 Cl.upf
Pd 106.42 Pd.upf
P 30.97 P.upf
Li 6.94 Li.upf
CELL_PARAMETERS angstrom
-2.2237 3.0107 2.3700
-2.8445 0.5387 -3.3533
-2.8580 -3.5680 1.8511
ATOMIC_POSITIONS angstrom
Cl -1.4223 0.2694 -1.6767
Cl -1.1118 1.5054 1.1850
Pd -3.9631 -0.0093 0.4339
P -1.4290 -1.7840 0.9256
Li 0.0000 0.0000 0.0000
```


#two
Density functional theory data (PBE) for crystalline LiPPdCl2 at its relaxed geometry. Values from VASP.

Values from the calculation:
- Calculated density: 2.93 g/cm3
- Symmetry: P4/mmm
- Total magnetization: 0.11 μB/atom
- Crystal system: tetragonal

Structure (Quantum ESPRESSO input):
```
&SYSTEM
  ibrav = 0, nat = 5, ntyp = 4
/
ATOMIC_SPECIES
Pd 106.42 Pd.upf
Li 6.94 Li.upf
Cl 35.45 Cl.upf
P 30.97 P.upf
CELL_PARAMETERS angstrom
-0.9838 3.9035 -3.3246
-3.1562 -3.1289 -2.7398
-3.4609 1.2792 2.5261
ATOMIC_POSITIONS angstrom
Pd 0.0000 0.0000 0.0000
Li -3.8005 1.0269 -1.7691
Cl -1.5781 -1.5645 -1.3699
Cl -0.4919 1.9518 -1.6623
P -1.7305 0.6396 1.2631
```


Which of them is the most stable, and which is the least stable? #two and #one, in that order.


#one
Density functional theory data (PBE) for crystalline LiPPtCl2 at its relaxed geometry. Values from VASP.

Values from the calculation:
- Calculated density: 4.10 g/cm3
- Symmetry: P4/mmm
- Total magnetization: 0.58 μB/atom
- Crystal system: tetragonal

Structure (Quantum ESPRESSO input):
```
&SYSTEM
  ibrav = 0, nat = 5, ntyp = 4
/
ATOMIC_SPECIES
Li 6.94 Li.upf
P 30.97 P.upf
Cl 35.45 Cl.upf
Pt 195.08 Pt.upf
CELL_PARAMETERS angstrom
4.8316 0.0000 0.0000
0.0000 5.2720 0.0000
0.0000 0.0000 4.8316
ATOMIC_POSITIONS angstrom
Li 0.0000 2.6360 0.0000
P 2.4158 2.6360 2.4158
Cl 2.4158 0.0000 0.0000
Cl 0.0000 0.0000 2.4158
Pt 0.0000 0.0000 0.0000
```


#two
Density functional theory data (PBE) for crystalline LiPPtCl2 at its relaxed geometry. Values from VASP.

Values from the calculation:
- Calculated density: 3.81 g/cm3
- Symmetry: P4/mmm
- Total magnetization: 0.00 μB/atom
- Crystal system: tetragonal

Structure (Quantum ESPRESSO input):
```
&SYSTEM
  ibrav = 0, nat = 5, ntyp = 4
/
ATOMIC_SPECIES
Cl 35.45 Cl.upf
Pt 195.08 Pt.upf
Li 6.94 Li.upf
P 30.97 P.upf
CELL_PARAMETERS angstrom
-1.3268 -3.7061 -0.4322
0.9884 0.0932 -3.8337
7.6753 -2.9701 1.9067
ATOMIC_POSITIONS angstrom
Cl -0.6634 -1.8531 -0.2161
Cl 0.4942 0.0466 -1.9168
Pt 3.6684 -3.2915 -1.1796
Li 0.0000 0.0000 0.0000
P 3.8376 -1.4851 0.9533
```


Which of them is the most stable, and which is the least stable? #one and #two, in that order.


#one
Density functional theory data (PBE) for crystalline RbLiPCl2 at its relaxed geometry. Values from VASP.

Values from the calculation:
- Calculated density: 1.35 g/cm3
- Symmetry: P4/mmm
- Total magnetization: 0.61 μB/atom
- Crystal system: tetragonal

Structure (Quantum ESPRESSO input):
```
&SYSTEM
  ibrav = 0, nat = 5, ntyp = 4
/
ATOMIC_SPECIES
Li 6.94 Li.upf
Cl 35.45 Cl.upf
P 30.97 P.upf
Rb 85.47 Rb.upf
CELL_PARAMETERS angstrom
6.1981 0.0000 0.0000
0.0000 6.1981 0.0000
0.0000 0.0000 6.2207
ATOMIC_POSITIONS angstrom
Li 3.0991 3.0991 3.1104
Cl 3.0991 0.0000 0.0000
Cl 0.0000 3.0991 0.0000
P 0.0000 0.0000 3.1104
Rb 0.0000 0.0000 0.0000
```


#two
Density functional theory data (PBE) for crystalline RbLiPCl2 at its relaxed geometry. Values from VASP.

Values from the calculation:
- Calculated density: 2.36 g/cm3
- Symmetry: P4/mmm
- Total magnetization: 0.60 μB/atom
- Crystal system: tetragonal

Structure (Quantum ESPRESSO input):
```
&SYSTEM
  ibrav = 0, nat = 5, ntyp = 4
/
ATOMIC_SPECIES
Cl 35.45 Cl.upf
Rb 85.47 Rb.upf
P 30.97 P.upf
Li 6.94 Li.upf
CELL_PARAMETERS angstrom
5.1568 0.0000 0.0000
0.0000 5.1568 0.0000
0.0000 0.0000 5.1344
ATOMIC_POSITIONS angstrom
Cl 0.0000 2.5784 0.0000
Cl 2.5784 0.0000 0.0000
Rb 2.5784 2.5784 2.5672
P 0.0000 0.0000 2.5672
Li 0.0000 0.0000 0.0000
```


Which of them is the most stable, and which is the least stable? #two and #one, in that order.


#one
Density functional theory data (PBE) for crystalline LiReP2Cl at its relaxed geometry. Values from VASP.

Values from the calculation:
- Calculated density: 4.29 g/cm3
- Symmetry: P4/mmm
- Total magnetization: 0.00 μB/atom
- Crystal system: tetragonal

Structure (Quantum ESPRESSO input):
```
&SYSTEM
  ibrav = 0, nat = 5, ntyp = 4
/
ATOMIC_SPECIES
Re 186.21 Re.upf
P 30.97 P.upf
Li 6.94 Li.upf
Cl 35.45 Cl.upf
CELL_PARAMETERS angstrom
4.5314 0.0000 0.0000
0.0000 4.5314 0.0000
0.0000 0.0000 5.4729
ATOMIC_POSITIONS angstrom
Re 0.0000 0.0000 0.0000
P 0.0000 2.2657 0.0000
P 2.2657 0.0000 0.0000
Li 2.2657 2.2657 2.7364
Cl 0.0000 0.0000 2.7364
```


#two
Density functional theory data (PBE) for crystalline LiReP2Cl at its relaxed geometry. Values from VASP.

Values from the calculation:
- Calculated density: 6.27 g/cm3
- Symmetry: P4/mmm
- Total magnetization: 0.00 μB/atom
- Crystal system: tetragonal

Structure (Quantum ESPRESSO input):
```
&SYSTEM
  ibrav = 0, nat = 5, ntyp = 4
/
ATOMIC_SPECIES
Li 6.94 Li.upf
Cl 35.45 Cl.upf
P 30.97 P.upf
Re 186.21 Re.upf
CELL_PARAMETERS angstrom
-0.2406 -3.7386 -1.9933
4.2073 0.0246 -0.5540
0.5032 -2.0223 3.7322
ATOMIC_POSITIONS angstrom
Li 0.0000 0.0000 0.0000
Cl 0.2516 -1.0111 1.8661
P 2.1036 0.0123 -0.2770
P -0.1203 -1.8693 -0.9967
Re 2.2349 -2.8682 0.5925
```


Which of them is the most stable, and which is the least stable? #one and #two, in that order.


#one
Density functional theory data (PBE) for crystalline LiP2RhCl at its relaxed geometry. Values from VASP.

Values from the calculation:
- Calculated density: 2.17 g/cm3
- Symmetry: P4/mmm
- Total magnetization: 0.08 μB/atom
- Crystal system: tetragonal

Structure (Quantum ESPRESSO input):
```
&SYSTEM
  ibrav = 0, nat = 5, ntyp = 4
/
ATOMIC_SPECIES
Rh 102.91 Rh.upf
Cl 35.45 Cl.upf
P 30.97 P.upf
Li 6.94 Li.upf
CELL_PARAMETERS angstrom
4.3525 0.0000 0.0000
0.0000 4.3525 0.0000
0.0000 0.0000 8.3613
ATOMIC_POSITIONS angstrom
Rh 0.0000 0.0000 0.0000
Cl 0.0000 0.0000 4.1807
P 0.0000 2.1763 0.0000
P 2.1763 0.0000 0.0000
Li 2.1763 2.1763 4.1807
```


#two
Density functional theory data (PBE) for crystalline LiP2RhCl at its relaxed geometry. Values from VASP.

Values from the calculation:
- Calculated density: 4.24 g/cm3
- Symmetry: P4/mmm
- Total magnetization: 0.00 μB/atom
- Crystal system: tetragonal

Structure (Quantum ESPRESSO input):
```
&SYSTEM
  ibrav = 0, nat = 5, ntyp = 4
/
ATOMIC_SPECIES
P 30.97 P.upf
Cl 35.45 Cl.upf
Rh 102.91 Rh.upf
Li 6.94 Li.upf
CELL_PARAMETERS angstrom
4.2667 0.0000 0.0000
0.0000 4.2667 0.0000
0.0000 0.0000 4.4622
ATOMIC_POSITIONS angstrom
P 2.1334 0.0000 0.0000
P 0.0000 2.1334 0.0000
Cl 0.0000 0.0000 2.2311
Rh 2.1334 2.1334 2.2311
Li 0.0000 0.0000 0.0000
```


Which of them is the most stable, and which is the least stable? #one and #two, in that order.


#one
Density functional theory data (PBE) for crystalline LiPRuCl2 at its relaxed geometry. Values from VASP.

Values from the calculation:
- Calculated density: 3.60 g/cm3
- Symmetry: P4/mmm
- Total magnetization: 0.52 μB/atom
- Crystal system: tetragonal

Structure (Quantum ESPRESSO input):
```
&SYSTEM
  ibrav = 0, nat = 5, ntyp = 4
/
ATOMIC_SPECIES
Li 6.94 Li.upf
P 30.97 P.upf
Cl 35.45 Cl.upf
Ru 101.07 Ru.upf
CELL_PARAMETERS angstrom
-1.0593 -0.2410 -4.1474
-1.7396 -3.8610 0.6687
-4.6349 2.2705 1.0519
ATOMIC_POSITIONS angstrom
Li 0.0000 0.0000 0.0000
P -2.3175 1.1352 0.5259
Cl -0.5296 -0.1205 -2.0737
Cl -0.8698 -1.9305 0.3343
Ru -3.7169 -0.9158 -1.2134
```


#two
Density functional theory data (PBE) for crystalline LiPRuCl2 at its relaxed geometry. Values from VASP.

Values from the calculation:
- Calculated density: 3.08 g/cm3
- Symmetry: P4/mmm
- Total magnetization: 0.00 μB/atom
- Crystal system: tetragonal

Structure (Quantum ESPRESSO input):
```
&SYSTEM
  ibrav = 0, nat = 5, ntyp = 4
/
ATOMIC_SPECIES
P 30.97 P.upf
Cl 35.45 Cl.upf
Ru 101.07 Ru.upf
Li 6.94 Li.upf
CELL_PARAMETERS angstrom
5.0605 0.0000 0.0000
0.0000 5.0605 0.0000
0.0000 0.0000 4.4165
ATOMIC_POSITIONS angstrom
P 0.0000 0.0000 2.2083
Cl 0.0000 2.5303 0.0000
Cl 2.5303 0.0000 0.0000
Ru 0.0000 0.0000 0.0000
Li 2.5303 2.5303 2.2083
```


Which of them is the most stable, and which is the least stable? #two and #one, in that order.